(1)
NdZn3Ga2 (GGA-PBE, optimized geometry); symmetry = No. 12; electronic total energy = -33.58 eV/cell
1.0
-1.3532 -3.9397 -0.6778
7.9824 -0.6453 0.9533
-3.9802 0.2511 6.4868
Zn Ga Nd
6 4 2
direct
0.9637 0.9274 0.6265 Zn
0.0363 0.0726 0.3735 Zn
0.3119 0.6238 0.5420 Zn
0.6045 0.2091 0.7008 Zn
0.3955 0.7909 0.2992 Zn
0.6881 0.3762 0.4580 Zn
0.4793 0.9585 0.8250 Ga
0.8013 0.6026 0.2924 Ga
0.1987 0.3974 0.7076 Ga
0.5207 0.0415 0.1750 Ga
0.8530 0.7059 0.9265 Nd
0.1470 0.2941 0.0735 Nd


(2)
Nd3Zn8Ga (GGA-PBE, optimized geometry); symmetry = No. 160; electronic total energy = -30.53 eV/cell
1.0
5.5630 0.0000 0.0000
2.7815 4.8177 0.0000
2.7815 1.6059 8.8968
Zn Ga Nd
8 1 3
direct
0.1874 0.1874 0.4377 Zn
0.6899 0.6899 0.9303 Zn
0.9401 0.4355 0.6843 Zn
0.4388 0.9375 0.1849 Zn
0.9401 0.9401 0.6843 Zn
0.4388 0.4388 0.1849 Zn
0.4355 0.9401 0.6843 Zn
0.9375 0.4388 0.1849 Zn
0.8681 0.8681 0.3958 Ga
0.5053 0.5053 0.4840 Nd
0.9900 0.9900 0.0301 Nd
0.3785 0.3785 0.8644 Nd


(3)
Nd5ZnGa4 (GGA-PBE, optimized geometry); symmetry = No. 123; electronic total energy = -42.26 eV/cell
1.0
-0.7294 -2.8153 2.2634
-1.4998 -1.8646 -2.8026
16.5934 -7.4524 -3.9220
Nd Ga Zn
5 4 1
direct
0.5000 0.5000 0.5000 Nd
0.5000 0.5000 0.7005 Nd
0.5000 0.5000 0.2995 Nd
0.5000 0.5000 0.0991 Nd
0.5000 0.5000 0.9009 Nd
0.0000 0.0000 0.8026 Ga
0.0000 0.0000 0.3999 Ga
0.0000 0.0000 0.1974 Ga
0.0000 0.0000 0.6001 Ga
0.0000 0.0000 0.0000 Zn


(4)
Nd2Zn2Ga3 (GGA-PBE, optimized geometry); symmetry = No. 63; electronic total energy = -50.11 eV/cell
1.0
-4.3240 0.4369 0.8651
0.5443 -4.7774 5.1337
4.1034 6.6845 5.7854
Nd Zn Ga
4 4 6
direct
0.8404 0.7500 0.6807 Nd
0.1596 0.2500 0.3193 Nd
0.9494 0.2500 0.8988 Nd
0.0506 0.7500 0.1012 Nd
0.6831 0.5649 0.3662 Zn
0.3169 0.4351 0.6338 Zn
0.6831 0.9351 0.3662 Zn
0.3169 0.0649 0.6338 Zn
0.2227 0.7500 0.4455 Ga
0.5594 0.4275 0.1189 Ga
0.7773 0.2500 0.5545 Ga
0.4406 0.9275 0.8811 Ga
0.4406 0.5725 0.8811 Ga
0.5594 0.0725 0.1189 Ga


Question: Which of these has the highest electronic total energy?
Answer: Nd3Zn8Ga